Crystalline Er2ZrAu6 at its relaxed geometry, computed with PBE.

a b c (Å): 8.415 8.415 5.157
angles (deg): 98.82 98.82 144.25
Element x y z (fractional)
Er (0.166, 0.834, 0.000)
Er (0.834, 0.166, 0.000)
Zr (0.500, 0.500, 0.500)
Au (0.162, 0.162, 0.831)
Au (0.175, 0.500, 0.666)
Au (0.500, 0.175, 0.666)
Au (0.500, 0.825, 0.334)
Au (0.825, 0.500, 0.334)
Au (0.838, 0.838, 0.169)

Energy relative to the elements, meV/atom: -696
Space-group type: C2/m, No. 12